## RbSn2I (PBE-GGA)

Data for a geometry-optimized RbSn2I structure.

Lattice parameters (Å, degrees): 7.828 7.828 7.828 99.90 99.90 131.01
Positions (direct):
Rb 0.000 0.000 0.000
Rb 0.750 0.250 0.500
Sn 0.159 0.625 0.034
Sn 0.375 0.409 0.534
Sn 0.591 0.125 0.966
Sn 0.875 0.841 0.466
I 0.250 0.750 0.500
I 0.500 0.500 0.000

Properties
- E_form (uncorrected): 0.04 eV/atom
- Space-group type: I-42d, No. 122
- D(E_F): 6.155 states/eV/cell
- E_tot: -2.587 eV/atom